[1]
## PrNd4ErS8 (PBE)

Data for an optimized crystal structure of PrNd4ErS8.

Cell lengths 8.3000, 8.3000, 8.3067 Å; angles 60.03, 60.03, 60.00 degrees
Last column: nearest neighbours and their distance in Å.
Fractional positions:
1 Nd 0.6251 0.6251 0.1247  4 S 2.71-2.72
2 Nd 0.0023 0.0023 0.5024  6 S 2.87-2.88
3 Nd 0.4930 0.0023 0.5024  6 S 2.87-2.88
4 Nd 0.0023 0.4930 0.5024  6 S 2.87-2.88
5 S 0.2489 0.2489 0.7456  1 Er 2.59, 2 Nd 2.88, 1 Pr 2.90
6 S 0.7572 0.7572 0.2603  3 Nd 2.71-2.87, 1 Pr 2.88
7 S 0.7566 0.2489 0.7456  1 Er 2.59, 2 Nd 2.88, 1 Pr 2.90
8 S 0.7586 0.7586 0.7243  4 Nd 2.72-2.87
9 S 0.2474 0.2474 0.2577  1 Er 2.59, 3 Nd 2.88
10 S 0.2252 0.7572 0.2603  3 Nd 2.71-2.87, 1 Pr 2.88
11 S 0.2489 0.7566 0.7456  1 Er 2.59, 2 Nd 2.88, 1 Pr 2.90
12 S 0.7572 0.2252 0.2603  3 Nd 2.71-2.87, 1 Pr 2.88
13 Er 0.3749 0.3749 0.8753  4 S 2.59
14 Pr 0.0024 0.0024 0.9929  6 S 2.88-2.90

Summary:
Magnetization   0.74 μB per formula unit
E_form (uncorrected)   -1.90 eV/atom
DFT total energy   -6.293 eV/atom

=====

[2]
## CeDy2Ho3 (PBE)

Data for an optimized crystal structure of CeDy2Ho3.

Cell lengths 11.4483, 6.1455, 6.1455 Å; angles 120.03, 90.00, 90.00 degrees
Last column: nearest neighbours and their distance in Å.
Fractional positions:
1 Ho 0.4697 0.5003 0.5003  2 Ce 3.51-3.52, 4 Dy 3.52, 6 Ho 3.54-3.57
2 Ho 0.4696 0.1650 0.8358  6 Ho 3.50-3.57, 2 Ce 3.51, 4 Dy 3.52-3.53
3 Ho 0.9696 0.8350 0.1642  6 Ho 3.50-3.57, 2 Ce 3.51, 4 Dy 3.52-3.53
4 Ho 0.4696 0.8358 0.1650  6 Ho 3.50-3.57, 2 Ce 3.51, 4 Dy 3.52-3.53
5 Ho 0.9696 0.1642 0.8350  6 Ho 3.50-3.57, 2 Ce 3.51, 4 Dy 3.52-3.53
6 Ho 0.9697 0.4997 0.4997  2 Ce 3.51-3.52, 4 Dy 3.52, 6 Ho 3.54-3.57
7 Ce 0.7195 0.8329 0.8329  6 Ho 3.51-3.52, 6 Dy 3.54-3.55
8 Ce 0.2195 0.1671 0.1671  6 Ho 3.51-3.52, 6 Dy 3.54-3.55
9 Dy 0.7197 0.5009 0.1674  6 Ho 3.52-3.53, 3 Ce 3.54-3.55, 3 Dy 3.55
10 Dy 0.2197 0.8326 0.4991  6 Ho 3.52-3.53, 3 Ce 3.54-3.55, 3 Dy 3.55
11 Dy 0.2197 0.4991 0.8326  6 Ho 3.52-3.53, 3 Ce 3.54-3.55, 3 Dy 3.55
12 Dy 0.7197 0.1674 0.5009  6 Ho 3.52-3.53, 3 Ce 3.54-3.55, 3 Dy 3.55

Summary:
DFT formation energy   0.334 eV/f.u.
Magnetization   1.03 μB per formula unit
DFT total energy   -4.756 eV/atom
Relative energy among the computed polymorphs   0.0 meV/atom

=====

[3]
## AcZnCdBi (PBE)

Data for an optimized crystal structure of AcZnCdBi.

Cell lengths 5.4704, 5.4704, 5.4704 Å; angles 60.00, 60.00, 60.00 degrees
Last column: nearest neighbours and their distance in Å.
Fractional positions:
1 Zn 0.2500 0.2500 0.2500  4 Ac 3.35, 4 Bi 3.35
2 Cd 0.7500 0.7500 0.7500  4 Ac 3.35, 4 Bi 3.35
3 Ac 0.5000 0.5000 0.5000  4 Cd 3.35, 4 Zn 3.35
4 Bi 0.0000 0.0000 0.0000  4 Cd 3.35, 4 Zn 3.35

Summary:
DFT formation energy   -1.001 eV/f.u.
Magnetization   0.00 μB per formula unit
DFT total energy   -2.795 eV/atom

=====

[4]
## SiAs2Cl (PBE)

Data for an optimized crystal structure of SiAs2Cl.

Cell lengths 4.7583, 4.7583, 4.7646 Å; angles 71.17, 71.17, 110.88 degrees
Last column: nearest neighbours and their distance in Å.
Fractional positions:
1 Cl 0.5000 0.0000 0.5000  2 Si 2.70, 4 As 2.77
2 Si 0.0000 0.5000 0.5000  2 Cl 2.70, 4 As 2.77
3 As 0.0000 0.0000 0.0000  2 As 2.70, 2 Si 2.77, 2 Cl 2.77
4 As 0.5000 0.5000 0.0000  2 As 2.70, 2 Cl 2.77, 2 Si 2.77

Summary:
Magnetization   0.00 μB per formula unit
E_form (uncorrected)   0.33 eV/atom
DFT total energy   -3.810 eV/atom
Relative energy among the computed polymorphs   385.4 meV/atom

=====

[5]
## HfZnAu2 (PBE)

Data for an optimized crystal structure of HfZnAu2.

Cell lengths 7.4523, 7.4523, 5.9677 Å; angles 51.36, 51.36, 90.00 degrees
Last column: nearest neighbours and their distance in Å.
Fractional positions:
1 Zn 0.5000 0.5000 0.0000  4 Au 2.62, 2 Hf 2.80
2 Zn 0.2500 0.7500 0.5000  4 Au 2.62, 2 Hf 2.80
3 Au 0.6034 0.1250 0.2500  2 Zn 2.62, 2 Au 2.82, 2 Hf 2.84
4 Au 0.3750 0.3966 0.7500  2 Zn 2.62, 2 Au 2.82, 2 Hf 2.84
5 Au 0.1466 0.6250 0.2500  2 Zn 2.62, 2 Au 2.82, 2 Hf 2.84
6 Au 0.8750 0.8534 0.7500  2 Zn 2.62, 2 Au 2.82, 2 Hf 2.84
7 Hf 0.7500 0.2500 0.5000  2 Zn 2.80, 4 Au 2.84
8 Hf 0.0000 0.0000 0.0000  2 Zn 2.80, 4 Au 2.84

Summary:
DFT formation energy   -0.177 eV/f.u.
Magnetization   0.00 μB per formula unit
DFT total energy   -4.490 eV/atom

=====

[6]
## PdAuSe2 (PBE)

Data for an optimized crystal structure of PdAuSe2.

Cell lengths 5.8517, 5.8517, 7.1028 Å; angles 65.67, 65.67, 90.00 degrees
Last column: nearest neighbours and their distance in Å.
Fractional positions:
1 Se 0.1437 0.6250 0.2500  2 Pd 2.46, 2 Au 2.59
2 Se 0.6063 0.1250 0.2500  2 Pd 2.46, 2 Au 2.59
3 Se 0.3750 0.3937 0.7500  2 Pd 2.46, 2 Au 2.59
4 Se 0.8750 0.8563 0.7500  2 Pd 2.46, 2 Au 2.59
5 Au 0.0000 0.0000 0.0000  4 Se 2.59
6 Au 0.7500 0.2500 0.5000  4 Se 2.59
7 Pd 0.2500 0.7500 0.5000  4 Se 2.46
8 Pd 0.5000 0.5000 0.0000  4 Se 2.46

Summary:
Magnetization   0.00 μB per formula unit
E_form (uncorrected)   0.00 eV/atom
DFT total energy   -3.856 eV/atom

=====

[7]
## Tb2PrNd6Sm3 (PBE)

Data for an optimized crystal structure of Tb2PrNd6Sm3.

Cell lengths 6.3300, 6.3300, 12.0876 Å; angles 95.02, 95.02, 119.99 degrees
Last column: nearest neighbours and their distance in Å.
Fractional positions:
1 Tb 0.6665 0.3335 0.0000  6 Nd 3.64, 3 Tb 3.65-3.66, 3 Pr 3.65-3.66
2 Tb 0.3335 0.6665 0.0000  6 Nd 3.64, 3 Tb 3.65-3.66, 3 Pr 3.65-3.66
3 Sm 0.8331 0.1669 0.5000  6 Nd 3.64-3.66, 6 Sm 3.65-3.66
4 Sm 0.1669 0.8331 0.5000  6 Nd 3.64-3.66, 6 Sm 3.65-3.66
5 Sm 0.5000 0.5000 0.5000  6 Nd 3.65, 6 Sm 3.65-3.66
6 Nd 0.9162 0.5818 0.7503  2 Tb 3.64, 3 Sm 3.64-3.66, 1 Pr 3.65, 6 Nd 3.65-3.67
7 Nd 0.2504 0.2504 0.7504  2 Tb 3.64, 1 Pr 3.65, 6 Nd 3.65-3.67, 3 Sm 3.65
8 Nd 0.0838 0.4182 0.2497  2 Tb 3.64, 3 Sm 3.64-3.66, 1 Pr 3.65, 6 Nd 3.65-3.67
9 Nd 0.7496 0.7496 0.2496  2 Tb 3.64, 1 Pr 3.65, 6 Nd 3.65-3.67, 3 Sm 3.65
10 Nd 0.5818 0.9162 0.7503  2 Tb 3.64, 3 Sm 3.64-3.66, 1 Pr 3.65, 6 Nd 3.65-3.67
11 Nd 0.4182 0.0838 0.2497  2 Tb 3.64, 3 Sm 3.64-3.66, 1 Pr 3.65, 6 Nd 3.65-3.67
12 Pr 0.0000 0.0000 0.0000  6 Nd 3.65, 6 Tb 3.65-3.66

Summary:
DFT formation energy   0.153 eV/f.u.
Magnetization   0.00 μB per formula unit
DFT total energy   -4.721 eV/atom

=====

[8]
## Sm8Ho3Mg (PBE)

Data for an optimized crystal structure of Sm8Ho3Mg.

Cell lengths 8.3657, 8.3657, 8.3657 Å; angles 93.88, 117.79, 117.79 degrees
Last column: nearest neighbours and their distance in Å.
Fractional positions:
1 Sm 0.0000 0.8743 0.6203  3 Sm 3.10-3.30, 3 Ho 3.22-3.41, 1 Mg 3.28
2 Sm 0.5021 0.2614 0.2614  1 Ho 3.05, 1 Mg 3.07, 2 Sm 3.16-3.30
3 Sm 0.0000 0.6203 0.8743  3 Sm 3.10-3.30, 3 Ho 3.22-3.41, 1 Mg 3.28
4 Sm 0.7460 0.1257 0.1257  3 Sm 3.10-3.30, 3 Ho 3.22-3.41, 1 Mg 3.28
5 Sm 0.0000 0.2408 0.7386  1 Ho 3.05, 1 Mg 3.07, 2 Sm 3.16-3.30
6 Sm 0.0000 0.7386 0.2408  1 Ho 3.05, 1 Mg 3.07, 2 Sm 3.16-3.30
7 Sm 0.4979 0.7592 0.7592  1 Ho 3.05, 1 Mg 3.07, 2 Sm 3.16-3.30
8 Sm 0.2540 0.3797 0.3797  3 Sm 3.10-3.30, 3 Ho 3.22-3.41, 1 Mg 3.28
9 Mg 0.0000 0.0000 0.0000  8 Sm 3.07-3.28
10 Ho 0.5000 0.2500 0.7500  4 Sm 3.41
11 Ho 0.5000 0.7500 0.2500  4 Sm 3.41
12 Ho 0.0000 0.5000 0.5000  8 Sm 3.05-3.22

Summary:
DFT formation energy   6.741 eV/f.u.
Magnetization   0.00 μB per formula unit
DFT total energy   -3.862 eV/atom